This record from the Alexandria database describes a geometry-optimized Tb2DyTm5In structure. The functional is PBE-GGA.

The structure in POSCAR format:
```
Tb2DyTm5In
1.0
-4.2585 0.1047 3.1008
1.2683 -10.0583 -2.3948
6.0129 -1.2178 8.2991
Tb Dy Tm In
4 2 10 2
Cartesian
1.9926 -8.5941 7.5032
4.1352 -3.2065 5.7874
1.5757 -2.6877 2.2548
-1.4608 -7.8943 2.7368
0.4261 -6.3860 5.2773
-0.3106 -4.1966 -0.2849
-0.6098 -7.6697 -0.5784
2.3776 -5.1766 7.9166
2.4298 -0.8714 7.8429
3.7510 -6.6237 5.3752
0.0815 -10.3858 4.9391
0.7246 -2.9127 5.5700
1.3695 -6.1414 2.0883
0.6917 -10.3200 1.2985
-1.2539 -4.4412 2.9044
0.0331 -0.1965 0.0521
-2.2457 -1.8838 1.4559
2.3606 -8.6986 3.5357
```

Output
**E_tot**: -0.1592 Ha/atom
**Formation energy from the elements**: -0.02 eV/f.u.

This record from the Alexandria database describes a geometry-optimized TaHgN2F structure. The functional is PBE-GGA.

The structure in POSCAR format:
```
TaHgN2F
1.0
4.1190 0.0000 0.0000
0.0000 4.1190 0.0000
0.0000 0.0000 4.1028
N F Hg Ta
2 1 1 1
Cartesian
0.0000 2.0595 0.0000
2.0595 0.0000 0.0000
0.0000 0.0000 2.0514
2.0595 2.0595 2.0514
0.0000 0.0000 0.0000
```

Output
**Energy relative to the elements, uncorrected**: -0.473 eV per atom
**E_tot**: -0.2428 Ha/atom
**Distance to the lowest polymorph of the same formula**: 0 meV/atom

This record from the Alexandria database describes a geometry-optimized Pu2Tl3InS6 structure. The functional is PBE-GGA.

The structure in POSCAR format:
```
Pu2Tl3InS6
1.0
7.0085 0.0064 0.0030
-3.4970 6.0737 0.0030
-1.1698 -2.0256 7.4514
Pu Tl In S
2 3 1 6
Cartesian
0.0070 4.0500 0.0030
3.5044 2.0301 0.0030
-2.3136 4.0396 3.7287
4.6552 0.0149 3.7287
1.1708 2.0272 3.7287
0.0000 0.0000 0.0000
3.4918 2.0572 6.0051
2.3526 4.0734 1.4748
-1.1501 1.9973 1.4523
0.0369 4.0526 6.0051
-0.0109 -0.0189 5.9826
2.3048 0.0019 1.4523
```

Output
**Energy relative to the elements, uncorrected**: -0.943 eV per atom
**E_tot**: -0.2284 Ha/atom

This record from the Alexandria database describes a geometry-optimized KPaAgO4 structure. The functional is PBE-GGA.

The structure in POSCAR format:
```
KPaAgO4
1.0
-3.6620 1.6856 -5.1339
1.9345 -7.1324 0.4280
-4.9815 2.3420 4.3223
K Pa Ag O
2 2 2 8
Cartesian
-2.1744 -3.1493 -3.6327
-4.5345 0.0446 3.2491
-4.3217 2.0138 -0.4058
-1.8310 0.8428 -2.5669
-3.3545 -1.5524 -0.1918
-1.5235 -2.3952 2.3751
-4.9970 -0.0940 -0.6162
-0.3203 -5.8411 -0.0373
-1.7782 -5.1699 -2.0812
-3.0111 -1.0277 -2.3393
-3.6979 -2.0771 1.9557
-6.3887 2.7363 -0.3464
-4.9307 2.0652 1.6976
-1.7119 -3.0107 0.2326
```

Output
**Energy relative to the elements, uncorrected**: -2.135 eV per atom
**E_tot**: -0.2532 Ha/atom

This record from the Alexandria database describes a geometry-optimized RhI2NF structure. The functional is PBE-GGA.

The structure in POSCAR format:
```
RhI2NF
1.0
5.6303 0.0000 0.0000
0.0000 5.6303 0.0000
0.0000 0.0000 3.3980
I N Rh F
2 1 1 1
Cartesian
0.0000 2.8152 0.0000
2.8152 0.0000 0.0000
0.0000 0.0000 1.6990
2.8152 2.8152 1.6990
0.0000 0.0000 0.0000
```

Output
**Energy relative to the elements, uncorrected**: 1.424 eV per atom
**E_tot**: -0.0994 Ha/atom
**Distance to the lowest polymorph of the same formula**: 1101 meV/atom

This record from the Alexandria database describes a geometry-optimized Pr4PSe2Br structure. The functional is PBE-GGA.

The structure in POSCAR format:
```
Pr4PSe2Br
1.0
4.2441 0.0000 0.0000
0.0000 7.3325 -0.1425
0.0000 2.5867 7.0476
Pr P Se Br
4 1 2 1
Cartesian
0.0001 7.4186 4.9598
4.2441 2.5006 1.9453
2.1221 6.1412 1.8498
2.1221 3.7780 5.0553
0.0000 4.9596 3.4526
0.0000 2.5867 7.0476
2.1221 1.2933 3.5238
2.1221 3.6663 -0.0712
```

Output
**Energy relative to the elements, uncorrected**: -1.640 eV per atom
**E_tot**: -0.2126 Ha/atom

Values of V, in order: 274.02 69.61 317.44 129.01 107.72 220.88, all in Å³/f.u..